VASP calculation (PBE) on crystalline LiSeF at its relaxed geometry.

The value obtained for the raw formation energy is -153.9 kJ per mole of atoms. The total magnetization is 0.000 Bohr magnetons per cell.

Lattice parameters (Å, degrees): 2.9752 2.9752 7.4514 90.00 90.00 120.00
Closest atoms and distances in Å follow each position.
Sites, in units of the cell vectors:
Li1 0.0000 0.0000 0.0000  3 F 1.72
Se1 0.3333 0.6667 0.5008  6 Se 2.98
F1 0.6667 0.3333 0.0001  3 Li 1.72


VASP calculation (PBE) on crystalline MnTeOs2 at its relaxed geometry.

The value obtained for the raw formation energy is 49.3 kJ per mole of atoms. The total magnetization is 3.502 Bohr magnetons per cell.

Lattice parameters (Å, degrees): 3.7848 6.4909 6.4909 25.75 90.00 90.00
Closest atoms and distances in Å follow each position.
Sites, in units of the cell vectors:
Mn1 0.0000 0.0000 0.0000  5 Os 2.50-2.77
Te1 0.5000 0.3704 0.3704  4 Mn 2.89, 2 Te 2.89, 3 Os 2.90-3.06
Os1 0.0000 0.1972 0.1972  1 Mn 2.50, 4 Os 2.61
Os2 0.5000 0.6119 0.6119  6 Os 2.61-2.89, 4 Mn 2.77


VASP calculation (PBE) on crystalline LaPHRu at its relaxed geometry.

The total magnetization is 0.000 Bohr magnetons per cell. As for the total energy: -6.726 eV/atom.

Lattice parameters (Å, degrees): 4.0580 4.0580 7.9678 90.00 90.00 90.00
Closest atoms and distances in Å follow each position.
Sites, in units of the cell vectors:
La1 0.2500 0.2500 0.1750  4 H 2.46
La2 0.7500 0.7500 0.8250  4 H 2.46
P1 0.2500 0.2500 0.6508  4 Ru 2.36
P2 0.7500 0.7500 0.3492  4 Ru 2.36
H1 0.2500 0.7500 0.0000  4 La 2.46
H2 0.7500 0.2500 0.0000  4 La 2.46
Ru1 0.2500 0.7500 0.5000  4 P 2.36
Ru2 0.7500 0.2500 0.5000  4 P 2.36


VASP calculation (PBE) on crystalline PtPbCl4 at its relaxed geometry.

The value obtained for the raw formation energy is -71.7 kJ per mole of atoms. The total magnetization is 0.000 Bohr magnetons per cell. The calculation puts the energy relative to the lowest polymorph listed for this composition at 0 meV per atom.

Lattice parameters (Å, degrees): 6.1215 6.1215 6.1215 111.30 111.30 105.87
Closest atoms and distances in Å follow each position.
Sites, in units of the cell vectors:
Pt1 0.0000 0.0000 0.0000  4 Cl 2.31
Pb1 0.7500 0.2500 0.5000  8 Cl 3.06-3.07
Cl1 0.2358 0.2384 0.4732  1 Pt 2.31
Cl2 0.2374 0.7642 0.0027  1 Pt 2.31
Cl3 0.7616 0.2347 0.9973  1 Pt 2.31
Cl4 0.7653 0.7626 0.5268  1 Pt 2.31


VASP calculation (PBE) on crystalline TaInBr2 at its relaxed geometry.

The value obtained for the raw formation energy is 77.4 kJ per mole of atoms. The total magnetization is 3.615 Bohr magnetons per cell. The calculation puts the energy relative to the lowest polymorph listed for this composition at 1053 meV per atom.

Lattice parameters (Å, degrees): 5.2016 5.2016 5.2016 60.00 60.00 60.00
Closest atoms and distances in Å follow each position.
Sites, in units of the cell vectors:
Ta1 0.0000 0.0000 0.0000  4 In 3.19, 4 Br 3.19
In1 0.7500 0.7500 0.7500  4 Ta 3.19, 4 Br 3.19
Br1 0.2500 0.2500 0.2500  4 Ta 3.19, 4 Br 3.19
Br2 0.5000 0.5000 0.5000  4 In 3.19, 4 Br 3.19


VASP calculation (PBE) on crystalline NaTlP3 at its relaxed geometry.

As for the formation energy: 1201.9 meV per atom. The total magnetization is 0.000 Bohr magnetons per cell. The calculation puts the energy relative to the lowest polymorph listed for this composition at 141 meV per atom.

Lattice parameters (Å, degrees): 4.9860 4.9860 4.9860 90.00 90.00 90.00
Closest atoms and distances in Å follow each position.
Sites, in units of the cell vectors:
Na1 0.0000 0.0000 0.0000  6 P 2.49
Tl1 0.5000 0.5000 0.5000  12 P 3.53
P1 0.0000 0.0000 0.5000  2 Na 2.49
P2 0.0000 0.5000 0.0000  2 Na 2.49
P3 0.5000 0.0000 0.0000  2 Na 2.49


VASP calculation (PBE) on crystalline ZnBiIr at its relaxed geometry.

As for the formation energy: -18.7 meV per atom. The total magnetization is 0.000 Bohr magnetons per cell. The calculation puts the energy relative to the lowest polymorph listed for this composition at 29 meV per atom.

Lattice parameters (Å, degrees): 5.5589 5.5589 5.3275 90.00 90.00 135.38
Closest atoms and distances in Å follow each position.
Sites, in units of the cell vectors:
Zn1 0.0000 0.0000 0.0000  4 Ir 2.63, 2 Zn 2.66
Zn2 0.0000 0.0000 0.5000  4 Ir 2.63, 2 Zn 2.66
Bi1 0.2880 0.7120 0.7500  5 Ir 2.98-3.02, 6 Zn 3.25-3.31
Bi2 0.7120 0.2880 0.2500  5 Ir 2.98-3.02, 6 Zn 3.25-3.31
Ir1 0.4185 0.5815 0.2500  4 Zn 2.63
Ir2 0.5815 0.4185 0.7500  4 Zn 2.63


VASP calculation (PBE) on crystalline TlSbTe2As at its relaxed geometry.

The value obtained for the raw formation energy is 28.4 kJ per mole of atoms. The total magnetization is 0.000 Bohr magnetons per cell. The calculation puts the energy relative to the lowest polymorph listed for this composition at 0 meV per atom.

Lattice parameters (Å, degrees): 5.6758 5.6758 5.3019 90.00 90.00 90.00
Closest atoms and distances in Å follow each position.
Sites, in units of the cell vectors:
Tl1 0.0000 0.0000 0.0000  8 Te 3.88, 4 Sb 4.01
Sb1 0.5000 0.5000 0.0000  2 As 2.65
Te1 0.0000 0.5000 0.5000  2 As 2.84
Te2 0.5000 0.0000 0.5000  2 As 2.84
As1 0.5000 0.5000 0.5000  2 Sb 2.65, 4 Te 2.84


Repeat the fourth record exactly.
VASP calculation (PBE) on crystalline PtPbCl4 at its relaxed geometry.

The value obtained for the raw formation energy is -71.7 kJ per mole of atoms. The total magnetization is 0.000 Bohr magnetons per cell. The calculation puts the energy relative to the lowest polymorph listed for this composition at 0 meV per atom.

Lattice parameters (Å, degrees): 6.1215 6.1215 6.1215 111.30 111.30 105.87
Closest atoms and distances in Å follow each position.
Sites, in units of the cell vectors:
Pt1 0.0000 0.0000 0.0000  4 Cl 2.31
Pb1 0.7500 0.2500 0.5000  8 Cl 3.06-3.07
Cl1 0.2358 0.2384 0.4732  1 Pt 2.31
Cl2 0.2374 0.7642 0.0027  1 Pt 2.31
Cl3 0.7616 0.2347 0.9973  1 Pt 2.31
Cl4 0.7653 0.7626 0.5268  1 Pt 2.31


What is the formula in the first record? LiSeF